Ti5GaPt8 | Alexandria via LeMat-Bulk | PBE-GGA | optimized geometry; total magnetization = 0.000 μB per formula unit; energy of formation = -0.69 eV/atom; final energy = -7.173 eV per atom
1.0
-3.904 3.904 3.810
3.904 -3.904 3.810
3.904 3.904 -3.810
Ti Ga Pt
5 1 8
Direct
0.000 0.000 0.000
0.190 0.522 0.919
0.478 0.397 0.668
0.603 0.271 0.081
0.729 0.810 0.332
0.250 0.750 0.500
0.157 0.088 0.719
0.369 0.438 0.281
0.417 0.014 0.269
0.562 0.843 0.931
0.746 0.148 0.731
0.852 0.583 0.598
0.912 0.631 0.069
0.986 0.254 0.402